# 1
Computed, not measured: GdCdInRu after structural relaxation at the PBE level of DFT.

The formation energy comes out at -80 meV/atom. For the density of states at the Fermi level, the calculation gives 0.9494 states/eV per atom. As for the total energy: -6.833 eV/atom. The calculation puts the density at 9.6 g/cm³.

The space group is F-43m (No. 216) and the conventional cell measures 6.9472, 6.9472 and 6.9472 Å, with angles of 90.00, 90.00 and 90.00 degrees. The asymmetric unit holds Gd at (0.0000, 0.0000, 0.0000), Cd at (0.2500, 0.2500, 0.2500), In at (0.0000, 0.0000, 0.5000) and Ru at (0.2500, 0.2500, 0.7500).



# 2
Computed, not measured: GdScCdIn after structural relaxation at the PBE level of DFT.

The formation energy comes out at -389 meV/atom. For the density of states at the Fermi level, the calculation gives 0.8494 states/eV per atom. As for the total energy: -6.405 eV/atom. The calculation puts the density at 7.2 g/cm³.

The space group is F-43m (No. 216) and the conventional cell measures 7.3481, 7.3481 and 7.3481 Å, with angles of 90.00, 90.00 and 90.00 degrees. The asymmetric unit holds Gd at (0.0000, 0.0000, 0.0000), Sc at (0.0000, 0.0000, 0.5000), Cd at (0.2500, 0.2500, 0.7500) and In at (0.2500, 0.2500, 0.2500).



# 3
Computed, not measured: SrGdCdIn after structural relaxation at the PBE level of DFT.

The formation energy comes out at -365 meV/atom. For the density of states at the Fermi level, the calculation gives 1.1985 states/eV per atom. As for the total energy: -5.219 eV/atom. The calculation puts the density at 6.5 g/cm³.

The space group is F-43m (No. 216) and the conventional cell measures 7.8445, 7.8445 and 7.8445 Å, with angles of 90.00, 90.00 and 90.00 degrees. The asymmetric unit holds Sr at (0.0000, 0.0000, 0.0000), Gd at (0.0000, 0.0000, 0.5000), Cd at (0.2500, 0.2500, 0.7500) and In at (0.2500, 0.2500, 0.2500).



# 4
Computed, not measured: TbGdCdIn after structural relaxation at the PBE level of DFT.

The formation energy comes out at -426 meV/atom. For the density of states at the Fermi level, the calculation gives 0.8216 states/eV per atom. As for the total energy: -6.018 eV/atom. The calculation puts the density at 8.4 g/cm³.

The space group is F-43m (No. 216) and the conventional cell measures 7.5451, 7.5451 and 7.5451 Å, with angles of 90.00, 90.00 and 90.00 degrees. The asymmetric unit holds Tb at (0.0000, 0.0000, 0.0000), Gd at (0.0000, 0.0000, 0.5000), Cd at (0.2500, 0.2500, 0.2500) and In at (0.2500, 0.2500, 0.7500).



# 5
Computed, not measured: GdTlCdIn after structural relaxation at the PBE level of DFT.

The formation energy comes out at -198 meV/atom. For the density of states at the Fermi level, the calculation gives 0.6553 states/eV per atom. As for the total energy: -5.224 eV/atom. The calculation puts the density at 9.4 g/cm³.

The space group is F-43m (No. 216) and the conventional cell measures 7.4725, 7.4725 and 7.4725 Å, with angles of 90.00, 90.00 and 90.00 degrees. The asymmetric unit holds Gd at (0.0000, 0.0000, 0.0000), Tl at (0.2500, 0.2500, 0.7500), Cd at (0.0000, 0.0000, 0.5000) and In at (0.2500, 0.2500, 0.2500).



# 6
Computed, not measured: GdYCdIn after structural relaxation at the PBE level of DFT.

The formation energy comes out at -441 meV/atom. For the density of states at the Fermi level, the calculation gives 0.9348 states/eV per atom. As for the total energy: -6.491 eV/atom. The calculation puts the density at 7.3 g/cm³.

The space group is F-43m (No. 216) and the conventional cell measures 7.5367, 7.5367 and 7.5367 Å, with angles of 90.00, 90.00 and 90.00 degrees. The asymmetric unit holds Gd at (0.0000, 0.0000, 0.0000), Y at (0.0000, 0.0000, 0.5000), Cd at (0.2500, 0.2500, 0.2500) and In at (0.2500, 0.2500, 0.7500).



# 7
Computed, not measured: GdZnCdIn after structural relaxation at the PBE level of DFT.

The formation energy comes out at -267 meV/atom. For the density of states at the Fermi level, the calculation gives 0.4596 states/eV per atom. As for the total energy: -5.019 eV/atom. The calculation puts the density at 8.2 g/cm³.

The space group is F-43m (No. 216) and the conventional cell measures 7.1380, 7.1380 and 7.1380 Å, with angles of 90.00, 90.00 and 90.00 degrees. The asymmetric unit holds Gd at (0.0000, 0.0000, 0.0000), Zn at (0.2500, 0.2500, 0.2500), Cd at (0.2500, 0.2500, 0.7500) and In at (0.0000, 0.0000, 0.5000).



# 8
Computed, not measured: GdZrCdIn after structural relaxation at the PBE level of DFT.

The formation energy comes out at -232 meV/atom. For the density of states at the Fermi level, the calculation gives 0.4815 states/eV per atom. As for the total energy: -6.803 eV/atom. The calculation puts the density at 8.1 g/cm³.

The space group is F-43m (No. 216) and the conventional cell measures 7.3069, 7.3069 and 7.3069 Å, with angles of 90.00, 90.00 and 90.00 degrees. The asymmetric unit holds Gd at (0.0000, 0.0000, 0.0000), Zr at (0.0000, 0.0000, 0.5000), Cd at (0.2500, 0.2500, 0.2500) and In at (0.2500, 0.2500, 0.7500).



# 9
Computed, not measured: Gd3CdIr after structural relaxation at the PBE level of DFT.

The formation energy comes out at -322 meV/atom. For the density of states at the Fermi level, the calculation gives 1.6143 states/eV per atom. As for the total energy: -10.726 eV/atom. The calculation puts the density at 8.1 g/cm³.

The space group is Pm-3m (No. 221) and the conventional cell measures 5.4272, 5.4272 and 5.4272 Å, with angles of 90.00, 90.00 and 90.00 degrees. The asymmetric unit holds Gd at (0.0000, 0.0000, 0.5000), Cd at (0.5000, 0.5000, 0.5000) and Ir at (0.0000, 0.0000, 0.0000).



# 10
Computed, not measured: GdCdIr4 after structural relaxation at the PBE level of DFT.

The formation energy comes out at -353 meV/atom. For the density of states at the Fermi level, the calculation gives 1.2946 states/eV per atom. As for the total energy: -8.759 eV/atom. The calculation puts the density at 16.1 g/cm³.

The space group is F-43m (No. 216) and the conventional cell measures 7.5363, 7.5363 and 7.5363 Å, with angles of 90.00, 90.00 and 90.00 degrees. The asymmetric unit holds Gd at (0.0000, 0.0000, 0.0000), Cd at (0.2500, 0.2500, 0.2500) and Ir at (0.1247, 0.1247, 0.6247).



# 11
Computed, not measured: Gd2CdIr after structural relaxation at the PBE level of DFT.

The formation energy comes out at -509 meV/atom. The energy above the lowest structure with this stoichiometry comes out at 71 meV per atom. For the density of states at the Fermi level, the calculation gives 0.5830 states/eV per atom. As for the total energy: -9.993 eV/atom. The calculation puts the density at 11.0 g/cm³.

The space group is Fm-3m (No. 225) and the conventional cell measures 7.1958, 7.1958 and 7.1958 Å, with angles of 90.00, 90.00 and 90.00 degrees. The asymmetric unit holds Gd at (0.2500, 0.2500, 0.2500), Cd at (0.0000, 0.0000, 0.0000) and Ir at (0.0000, 0.0000, 0.5000).



# 12
Computed, not measured: GdCdIr after structural relaxation at the PBE level of DFT.

The formation energy comes out at -348 meV/atom. For the density of states at the Fermi level, the calculation gives 0.4359 states/eV per atom. As for the total energy: -8.301 eV/atom. The calculation puts the density at 11.7 g/cm³.

The space group is I4mm (No. 107) and the conventional cell measures 3.4234, 3.4234 and 11.1946 Å, with angles of 90.00, 90.00 and 90.00 degrees. The asymmetric unit holds Gd at (0.0000, 0.0000, 0.0000), Cd at (0.0000, 0.0000, 0.2864) and Ir at (0.0000, 0.0000, 0.6402).



# 13
Computed, not measured: GdCdIr after structural relaxation at the PBE level of DFT.

The formation energy comes out at -401 meV/atom. For the density of states at the Fermi level, the calculation gives 0.2481 states/eV per atom. As for the total energy: -8.353 eV/atom. The calculation puts the density at 10.4 g/cm³.

The space group is F-43m (No. 216) and the conventional cell measures 6.6517, 6.6517 and 6.6517 Å, with angles of 90.00, 90.00 and 90.00 degrees. The asymmetric unit holds Gd at (0.0000, 0.0000, 0.0000), Cd at (0.0000, 0.0000, 0.5000) and Ir at (0.2500, 0.2500, 0.7500).



# 14
Computed, not measured: Gd2CdIr after structural relaxation at the PBE level of DFT.

The formation energy comes out at -580 meV/atom. The energy above the lowest structure with this stoichiometry comes out at 0 meV per atom. For the density of states at the Fermi level, the calculation gives 0.4496 states/eV per atom. As for the total energy: -10.064 eV/atom. The calculation puts the density at 10.7 g/cm³.

The space group is P4/mmm (No. 123) and the conventional cell measures 3.5498, 3.5498 and 7.6135 Å, with angles of 90.00, 90.00 and 90.00 degrees. The asymmetric unit holds Gd at (0.0000, 0.0000, 0.2152), Cd at (0.5000, 0.5000, 0.5000) and Ir at (0.5000, 0.5000, 0.0000).



# 15
Computed, not measured: GdCdIr after structural relaxation at the PBE level of DFT.

The formation energy comes out at -313 meV/atom. For the density of states at the Fermi level, the calculation gives 0.7948 states/eV per atom. As for the total energy: -8.266 eV/atom. The calculation puts the density at 11.8 g/cm³.

The space group is P-6m2 (No. 187) and the conventional cell measures 4.7259, 4.7259 and 3.3510 Å, with angles of 90.00, 90.00 and 120.00 degrees. The asymmetric unit holds Gd at (0.0000, 0.0000, 0.0000), Cd at (0.6667, 0.3333, 0.5000) and Ir at (0.3333, 0.6667, 0.5000).